[1]
Density functional theory data (PBE-GGA) for a relaxed structure of RbBi2Os.

Values from the calculation:
* SG: I-42d
* energy of formation from the pure elements: 0.50 eV per atom

a b c (Å): 8.2850 8.2850 7.4551
angles (deg): 56.24 56.24 90.00
Sites, in units of the cell vectors:
Os 0.0000 0.0000 0.0000
Os 0.7500 0.2500 0.5000
Bi 0.7369 0.1250 0.2500
Bi 0.0131 0.6250 0.2500
Bi 0.3750 0.2631 0.7500
Bi 0.8750 0.9869 0.7500
Rb 0.5000 0.5000 0.0000
Rb 0.2500 0.7500 0.5000

---

[2]
Density functional theory data (PBE-GGA) for a relaxed structure of Rb3BiOs.

Values from the calculation:
* SG: Pm-3m
* energy of formation from the pure elements: 1.16 eV per atom

a b c (Å): 6.4267 6.4267 6.4267
angles (deg): 90.00 90.00 90.00
Each line ends with the local moment (μB).
Sites, in units of the cell vectors:
Os 0.0000 0.0000 0.0000  2.17
Bi 0.5000 0.5000 0.5000  0.82
Rb 0.0000 0.5000 0.0000  0.02
Rb 0.0000 0.0000 0.5000  0.01
Rb 0.5000 0.0000 0.0000  0.02

---

[3]
Density functional theory data (PBE-GGA) for a relaxed structure of RbBiOsRh2.

Values from the calculation:
* SG: P4/mmm
* energy of formation from the pure elements: 2.55 eV per atom

a b c (Å): 4.8424 4.9914 4.8424
angles (deg): 90.00 90.00 90.00
Each line ends with the local moment (μB).
Sites, in units of the cell vectors:
Rh 0.0000 0.0000 0.5000  0.31
Rh 0.5000 0.0000 0.0000  0.33
Os 0.0000 0.5000 0.0000  1.05
Bi 0.5000 0.5000 0.5000  -0.06
Rb 0.0000 0.0000 0.0000  0.00

---

[4]
Density functional theory data (PBE-GGA) for a relaxed structure of RbSr2BiOs.

Values from the calculation:
* SG: P4/mmm
* energy of formation from the pure elements: 1.88 eV per atom

a b c (Å): 6.2981 5.8639 6.2981
angles (deg): 90.00 90.00 90.00
Each line ends with the local moment (μB).
Sites, in units of the cell vectors:
Sr 0.0000 0.0000 0.5000  -0.10
Sr 0.5000 0.0000 0.0000  -0.08
Os 0.5000 0.5000 0.5000  2.72
Bi 0.0000 0.5000 0.0000  0.09
Rb 0.0000 0.0000 0.0000  -0.04

---

Question: Among the records above, which one has the lowest energy of formation from the pure elements?
Answer: RbBi2Os

---

What did the second record say?
Density functional theory data (PBE-GGA) for a relaxed structure of Rb3BiOs.

Values from the calculation:
* SG: Pm-3m
* energy of formation from the pure elements: 1.16 eV per atom

a b c (Å): 6.4267 6.4267 6.4267
angles (deg): 90.00 90.00 90.00
Each line ends with the local moment (μB).
Sites, in units of the cell vectors:
Os 0.0000 0.0000 0.0000  2.17
Bi 0.5000 0.5000 0.5000  0.82
Rb 0.0000 0.5000 0.0000  0.02
Rb 0.0000 0.0000 0.5000  0.01
Rb 0.5000 0.0000 0.0000  0.02

---

Question: Look up the energy of formation from the pure elements of the fourth one.
Answer: 1.88 eV per atom